Y2AlTe: relaxed, PBE.

Output
electronic total energy = -22.52 eV/cell
polymorph energy (0 for the lowest one) = 255.3 meV per atom

Unit cell a=3.755 b=3.751 c=7.389 alpha=90.00 beta=92.97 gamma=90.00
Positions (direct):
Y: 0.005 0.000 0.256
Y: 0.995 0.000 0.744
Al: 0.500 0.500 0.500
Te: 0.500 0.500 0.000

Y2AlTe: relaxed, PBE.

Output
electronic total energy = -22.23 eV/cell
polymorph energy (0 for the lowest one) = 325.8 meV per atom

Unit cell a=3.695 b=5.087 c=5.615 alpha=90.00 beta=90.00 gamma=90.00
Positions (direct):
Y: 0.000 0.000 0.000
Y: 0.000 0.500 0.500
Al: 0.500 0.000 0.500
Te: 0.500 0.500 0.000

Y2Al2Te: relaxed, PBE.

Output
electronic total energy = -52.03 eV/cell
polymorph energy (0 for the lowest one) = 0.0 meV per atom

Unit cell a=7.676 b=7.676 c=4.217 alpha=90.00 beta=90.00 gamma=90.00
Positions (direct):
Y: 0.174 0.326 0.000
Y: 0.326 0.826 0.000
Y: 0.674 0.174 0.000
Y: 0.826 0.674 0.000
Al: 0.119 0.619 0.500
Al: 0.381 0.119 0.500
Al: 0.619 0.881 0.500
Al: 0.881 0.381 0.500
Te: 0.000 0.000 0.500
Te: 0.500 0.500 0.500

YAlTe2: relaxed, PBE.

Output
electronic total energy = -18.76 eV/cell

Unit cell a=6.275 b=6.275 c=6.275 alpha=138.89 beta=138.89 gamma=59.54
Positions (direct):
Y: 0.000 0.000 0.000
Al: 0.250 0.750 0.500
Te: 0.500 0.500 0.000
Te: 0.750 0.250 0.500

YAlTe2: relaxed, PBE.

Output
electronic total energy = -19.52 eV/cell

Unit cell a=4.350 b=4.350 c=6.181 alpha=90.00 beta=90.00 gamma=90.00
Positions (direct):
Y: 0.000 0.000 0.000
Al: 0.500 0.500 0.500
Te: 0.000 0.000 0.500
Te: 0.500 0.500 0.000

YAlTe2: relaxed, PBE.

Output
electronic total energy = -18.81 eV/cell

Unit cell a=5.212 b=5.212 c=3.834 alpha=90.00 beta=90.00 gamma=90.00
Positions (direct):
Y: 0.000 0.000 0.000
Al: 0.500 0.500 0.000
Te: 0.000 0.500 0.500
Te: 0.500 0.000 0.500

YAl2Te6: relaxed, PBE.

Output
electronic total energy = -74.45 eV/cell

Unit cell a=9.283 b=9.283 c=8.013 alpha=99.83 beta=99.83 gamma=66.31
Positions (direct):
Y: 0.116 0.884 0.750
Y: 0.884 0.116 0.250
Al: 0.216 0.377 0.674
Al: 0.377 0.216 0.174
Al: 0.623 0.784 0.826
Al: 0.784 0.623 0.326
Te: 0.038 0.207 0.609
Te: 0.119 0.614 0.914
Te: 0.207 0.038 0.109
Te: 0.286 0.466 0.411
Te: 0.386 0.881 0.586
Te: 0.466 0.286 0.911
Te: 0.534 0.714 0.089
Te: 0.614 0.119 0.414
Te: 0.714 0.534 0.589
Te: 0.793 0.962 0.891
Te: 0.881 0.386 0.086
Te: 0.962 0.793 0.391

Y2Al2Te: relaxed, PBE.

Output
electronic total energy = -51.67 eV/cell
polymorph energy (0 for the lowest one) = 36.6 meV per atom

Unit cell a=7.936 b=7.936 c=4.357 alpha=90.00 beta=90.00 gamma=90.00
Positions (direct):
Y: 0.170 0.330 0.000
Y: 0.330 0.830 0.000
Y: 0.670 0.170 0.000
Y: 0.830 0.670 0.000
Al: 0.119 0.619 0.500
Al: 0.381 0.119 0.500
Al: 0.619 0.881 0.500
Al: 0.881 0.381 0.500
Te: 0.000 0.000 0.000
Te: 0.500 0.500 0.000

Y3AlTe: relaxed, PBE.

Output
electronic total energy = -59.22 eV/cell
polymorph energy (0 for the lowest one) = 0.0 meV per atom

Unit cell a=7.139 b=7.139 c=11.760 alpha=122.93 beta=122.93 gamma=36.08
Positions (direct):
Y: 0.032 0.032 0.174
Y: 0.201 0.201 0.604
Y: 0.291 0.291 0.136
Y: 0.709 0.709 0.864
Y: 0.799 0.799 0.396
Y: 0.968 0.968 0.826
Al: 0.381 0.381 0.938
Al: 0.619 0.619 0.062
Te: 0.435 0.435 0.615
Te: 0.565 0.565 0.385

YAlTe3: relaxed, PBE.

Output
electronic total energy = -20.19 eV/cell
polymorph energy (0 for the lowest one) = 807.5 meV per atom

Unit cell a=5.882 b=5.882 c=5.882 alpha=90.00 beta=90.00 gamma=90.00
Positions (direct):
Y: 0.000 0.000 0.000
Al: 0.500 0.500 0.500
Te: 0.000 0.000 0.500
Te: 0.000 0.500 0.000
Te: 0.500 0.000 0.000

Y2AlTe: relaxed, PBE.

Output
electronic total energy = -22.37 eV/cell
polymorph energy (0 for the lowest one) = 292.2 meV per atom

Unit cell a=5.309 b=5.309 c=3.731 alpha=90.28 beta=90.28 gamma=102.28
Positions (direct):
Y: 0.000 0.500 0.000
Y: 0.500 0.000 0.000
Al: 0.000 0.000 0.500
Te: 0.500 0.500 0.500

YAl3Te: relaxed, PBE.

Output
electronic total energy = -17.50 eV/cell

Unit cell a=5.270 b=5.270 c=5.270 alpha=90.00 beta=90.00 gamma=90.00
Positions (direct):
Y: 0.000 0.000 0.000
Al: 0.000 0.500 0.500
Al: 0.500 0.000 0.500
Al: 0.500 0.500 0.000
Te: 0.500 0.500 0.500

Y2AlTe: relaxed, PBE.

Output
electronic total energy = -47.08 eV/cell
polymorph energy (0 for the lowest one) = 0.0 meV per atom

Unit cell a=11.972 b=11.972 c=4.202 alpha=90.00 beta=90.00 gamma=158.73
Positions (direct):
Y: 0.063 0.937 0.750
Y: 0.332 0.668 0.750
Y: 0.668 0.332 0.250
Y: 0.937 0.063 0.250
Al: 0.463 0.537 0.750
Al: 0.537 0.463 0.250
Te: 0.195 0.805 0.750
Te: 0.805 0.195 0.250

YAlTe4: relaxed, PBE.

Output
electronic total energy = -21.46 eV/cell

Unit cell a=6.327 b=6.327 c=6.327 alpha=60.00 beta=60.00 gamma=60.00
Positions (direct):
Y: 0.000 0.000 0.000
Al: 0.750 0.750 0.750
Te: 0.375 0.375 0.375
Te: 0.375 0.375 0.876
Te: 0.375 0.876 0.375
Te: 0.876 0.375 0.375

Y5Al2Te2: relaxed, PBE.

Output
electronic total energy = -107.30 eV/cell

Unit cell a=8.723 b=8.723 c=7.967 alpha=90.00 beta=90.00 gamma=54.20
Positions (direct):
Y: 0.000 0.000 0.000
Y: 0.039 0.700 0.669
Y: 0.200 0.539 0.169
Y: 0.300 0.961 0.669
Y: 0.461 0.800 0.169
Y: 0.500 0.500 0.500
Y: 0.539 0.200 0.831
Y: 0.700 0.039 0.331
Y: 0.800 0.461 0.831
Y: 0.961 0.300 0.331
Al: 0.123 0.877 0.379
Al: 0.377 0.623 0.879
Al: 0.623 0.377 0.121
Al: 0.877 0.123 0.621
Te: 0.205 0.205 0.000
Te: 0.295 0.295 0.500
Te: 0.705 0.705 0.500
Te: 0.795 0.795 0.000

YAlTe: relaxed, PBE.

Output
electronic total energy = -31.24 eV/cell

Unit cell a=9.626 b=9.626 c=9.626 alpha=28.73 beta=28.73 gamma=28.73
Positions (direct):
Y: 0.063 0.063 0.063
Y: 0.937 0.937 0.937
Al: 0.332 0.332 0.332
Al: 0.668 0.668 0.668
Te: 0.225 0.225 0.225
Te: 0.775 0.775 0.775

Y2AlTe: relaxed, PBE.

Output
electronic total energy = -22.74 eV/cell
polymorph energy (0 for the lowest one) = 198.7 meV per atom

Unit cell a=4.320 b=4.320 c=6.111 alpha=90.00 beta=90.00 gamma=90.00
Positions (direct):
Y: 0.000 0.000 0.000
Y: 0.500 0.500 0.500
Al: 0.000 0.000 0.500
Te: 0.500 0.500 0.000

YAlTe3: relaxed, PBE.

Output
electronic total energy = -94.77 eV/cell
polymorph energy (0 for the lowest one) = 106.9 meV per atom

Unit cell a=7.555 b=7.838 c=12.327 alpha=90.00 beta=119.87 gamma=90.00
Positions (direct):
Y: 0.152 0.133 0.215
Y: 0.152 0.367 0.715
Y: 0.848 0.633 0.285
Y: 0.848 0.867 0.785
Al: 0.275 0.677 0.124
Al: 0.275 0.823 0.624
Al: 0.725 0.177 0.376
Al: 0.725 0.323 0.876
Te: 0.082 0.198 0.932
Te: 0.082 0.302 0.432
Te: 0.250 0.666 0.906
Te: 0.250 0.834 0.406
Te: 0.458 0.051 0.807
Te: 0.458 0.449 0.307
Te: 0.542 0.551 0.693
Te: 0.542 0.949 0.193
Te: 0.750 0.166 0.594
Te: 0.750 0.334 0.094
Te: 0.918 0.698 0.568
Te: 0.918 0.802 0.068

Y2AlTe: relaxed, PBE.

Output
electronic total energy = -20.15 eV/cell
polymorph energy (0 for the lowest one) = 846.6 meV per atom

Unit cell a=5.269 b=5.269 c=5.269 alpha=60.00 beta=60.00 gamma=60.00
Positions (direct):
Y: 0.000 0.000 0.000
Y: 0.250 0.250 0.250
Al: 0.500 0.500 0.500
Te: 0.750 0.750 0.750

Y3Al5Te12: relaxed, PBE.

Output
electronic total energy = -362.15 eV/cell

Unit cell a=14.836 b=14.836 c=14.836 alpha=109.47 beta=109.47 gamma=109.47
Positions (direct):
Y: 0.125 0.250 0.375
Y: 0.125 0.375 0.750
Y: 0.250 0.375 0.125
Y: 0.250 0.875 0.625
Y: 0.375 0.125 0.250
Y: 0.375 0.750 0.125
Y: 0.625 0.250 0.875
Y: 0.625 0.875 0.750
Y: 0.750 0.125 0.375
Y: 0.750 0.625 0.875
Y: 0.875 0.625 0.250
Y: 0.875 0.750 0.625
Al: 0.000 0.000 0.000
Al: 0.000 0.000 0.500
Al: 0.000 0.500 0.000
Al: 0.000 0.500 0.500
Al: 0.125 0.750 0.875
Al: 0.125 0.875 0.250
Al: 0.250 0.125 0.875
Al: 0.250 0.625 0.375
Al: 0.375 0.250 0.625
Al: 0.375 0.625 0.750
Al: 0.500 0.000 0.000
Al: 0.500 0.000 0.500
Al: 0.500 0.500 0.000
Al: 0.500 0.500 0.500
Al: 0.625 0.375 0.250
Al: 0.625 0.750 0.375
Al: 0.750 0.375 0.625
Al: 0.750 0.875 0.125
Al: 0.875 0.125 0.750
Al: 0.875 0.250 0.125
Te: 0.035 0.211 0.125
Te: 0.035 0.325 0.910
Te: 0.086 0.711 0.675
Te: 0.086 0.875 0.410
Te: 0.090 0.625 0.414
Te: 0.090 0.965 0.675
Te: 0.125 0.035 0.211
Te: 0.125 0.590 0.914
Te: 0.175 0.211 0.586
Te: 0.175 0.465 0.590
Te: 0.211 0.125 0.035
Te: 0.211 0.586 0.175
Te: 0.289 0.325 0.914
Te: 0.289 0.465 0.375
Te: 0.325 0.910 0.035
Te: 0.325 0.914 0.289
Te: 0.375 0.289 0.465
Te: 0.375 0.586 0.910
Te: 0.410 0.086 0.875
Te: 0.410 0.825 0.535
Te: 0.414 0.090 0.625
Te: 0.414 0.825 0.789
Te: 0.465 0.375 0.289
Te: 0.465 0.590 0.175
Te: 0.535 0.410 0.825
Te: 0.535 0.625 0.711
Te: 0.586 0.175 0.211
Te: 0.586 0.910 0.375
Te: 0.590 0.175 0.465
Te: 0.590 0.914 0.125
Te: 0.625 0.414 0.090
Te: 0.625 0.711 0.535
Te: 0.675 0.086 0.711
Te: 0.675 0.090 0.965
Te: 0.711 0.535 0.625
Te: 0.711 0.675 0.086
Te: 0.789 0.414 0.825
Te: 0.789 0.875 0.965
Te: 0.825 0.535 0.410
Te: 0.825 0.789 0.414
Te: 0.875 0.410 0.086
Te: 0.875 0.965 0.789
Te: 0.910 0.035 0.325
Te: 0.910 0.375 0.586
Te: 0.914 0.125 0.590
Te: 0.914 0.289 0.325
Te: 0.965 0.675 0.090
Te: 0.965 0.789 0.875

Y2AlTe: relaxed, PBE.

Output
electronic total energy = -22.09 eV/cell
polymorph energy (0 for the lowest one) = 360.9 meV per atom

Unit cell a=5.468 b=5.468 c=5.468 alpha=126.18 beta=126.18 gamma=79.60
Positions (direct):
Y: 0.250 0.750 0.500
Y: 0.750 0.250 0.500
Al: 0.000 0.000 0.000
Te: 0.500 0.500 0.000

Y2AlTe: relaxed, PBE.

Output
electronic total energy = -22.82 eV/cell
polymorph energy (0 for the lowest one) = 179.0 meV per atom

Unit cell a=8.465 b=8.465 c=8.465 alpha=27.27 beta=27.27 gamma=27.27
Positions (direct):
Y: 0.000 0.000 0.000
Y: 0.171 0.171 0.171
Al: 0.587 0.587 0.587
Te: 0.418 0.418 0.418

Number 1: formation energy from raw total energies -0.676 eV/atom. Number 2: formation energy from raw total energies -0.606 eV/atom. Number 3: formation energy from raw total energies -0.492 eV/atom. Number 4: formation energy from raw total energies -0.568 eV/atom. Number 5: formation energy from raw total energies -0.757 eV/atom. Number 6: formation energy from raw total energies -0.579 eV/atom. Number 7: formation energy from raw total energies -0.492 eV/atom. Number 8: formation energy from raw total energies -0.456 eV/atom. Number 9: formation energy from raw total energies -0.667 eV/atom. Number 10: formation energy from raw total energies -0.112 eV/atom. Number 11: formation energy from raw total energies -0.639 eV/atom. Number 12: formation energy from raw total energies 0.666 eV/atom. Number 13: formation energy from raw total energies -0.931 eV/atom. Number 14: formation energy from raw total energies 0.219 eV/atom. Number 15: formation energy from raw total energies -0.840 eV/atom. Number 16: formation energy from raw total energies -0.757 eV/atom. Number 17: formation energy from raw total energies -0.733 eV/atom. Number 18: formation energy from raw total energies -0.812 eV/atom. Number 19: formation energy from raw total energies -0.085 eV/atom. Number 20: formation energy from raw total energies -0.737 eV/atom. Number 21: formation energy from raw total energies -0.570 eV/atom. Number 22: formation energy from raw total energies -0.752 eV/atom.